The following is a PBE calculation of an optimized crystal structure of CuNi5Pt6, from the Alexandria database.

a b c (Å): 3.8613 7.2606 11.5780
angles (deg): 90.00 90.00 90.00
With the nearest neighbours (Å) after each atom.
Space group Immm (No. 71)
Inequivalent atoms, fractional coordinates:
Cu1 0.0000 0.0000 0.0000  8 Pt 2.66-2.67, 4 Ni 2.73
Ni1 0.0000 0.0000 0.3325  8 Pt 2.64, 4 Ni 2.72-2.74
Ni2 0.0000 0.5000 0.0000  8 Pt 2.63-2.65, 4 Ni 2.74
Ni3 0.0000 0.5000 0.3335  8 Pt 2.64-2.67, 2 Ni 2.72, 2 Cu 2.73
Pt1 0.0000 0.2464 0.5000  6 Ni 2.63-2.67, 2 Cu 2.67, 4 Pt 2.73
Pt2 0.0000 0.2515 0.1673  7 Ni 2.64-2.66, 1 Cu 2.66, 4 Pt 2.72-2.73

Properties
Total magnetic moment: 11.09 μB per cell
Raw total energy: -140.938 eV per cell

---

The following is a PBE calculation of an optimized crystal structure of CuNiPt2, from the Alexandria database.

a b c (Å): 8.6798 2.7435 4.7284
angles (deg): 90.00 100.65 90.00
With the nearest neighbours (Å) after each atom.
Space group C2/m (No. 12)
Inequivalent atoms, fractional coordinates:
Cu1 0.0000 0.0000 0.0000  6 Pt 2.65-2.67, 4 Ni 2.73, 2 Cu 2.74
Ni1 0.0000 0.5000 0.5000  6 Pt 2.64-2.66, 4 Cu 2.73, 2 Ni 2.74
Pt1 0.2483 0.0000 0.7476  3 Ni 2.64-2.66, 3 Cu 2.65-2.67, 6 Pt 2.72-2.75

Properties
Total magnetic moment: 2.31 μB per cell
Raw total energy: -44.705 eV per cell

---

The following is a PBE calculation of an optimized crystal structure of Cu6Ni2Pt, from the Alexandria database.

a b c (Å): 10.9133 6.4336 8.2970
angles (deg): 90.00 128.90 90.00
With the nearest neighbours (Å) after each atom.
Space group C2/c (No. 15)
Inequivalent atoms, fractional coordinates:
Cu1 0.0787 0.1603 0.0928  2 Ni 2.42-2.49, 4 Cu 2.44-2.67, 1 Pt 2.55
Cu2 0.1371 0.2134 0.8151  5 Cu 2.42-2.67, 1 Ni 2.49, 1 Pt 2.70
Cu3 0.1604 0.4745 0.6253  4 Cu 2.42-2.47, 2 Pt 2.46-2.63, 3 Ni 2.49-2.62
Ni1 0.1897 0.1089 0.5149  1 Ni 2.34, 6 Cu 2.42-2.62
Pt1 0.0000 0.4139 0.2500  8 Cu 2.46-2.70, 4 Ni 2.65-2.69

Properties
Total magnetic moment: 0.00 μB per cell
Raw total energy: -166.052 eV per cell
Energy relative to the lowest polymorph listed for this composition: 0.062 eV per atom

---

The following is a PBE calculation of an optimized crystal structure of CuNi2Pt, from the Alexandria database.

a b c (Å): 2.6434 2.6434 25.1534
angles (deg): 90.00 90.00 120.00
With the nearest neighbours (Å) after each atom.
Space group R3m (No. 160, hexagonal axes)
Inequivalent atoms, fractional coordinates:
Cu1 0.0000 0.0000 0.0000  6 Ni 2.51-2.52, 6 Cu 2.64
Ni1 0.0000 0.0000 0.4127  3 Cu 2.51, 6 Ni 2.64, 3 Pt 2.66
Ni2 0.0000 0.0000 0.5867  3 Cu 2.52, 6 Ni 2.64, 3 Pt 2.67
Pt1 0.0000 0.0000 0.8328  6 Pt 2.64, 6 Ni 2.66-2.67

Properties
Total magnetic moment: 4.06 μB per cell
Raw total energy: -64.626 eV per cell

---

The following is a PBE calculation of an optimized crystal structure of Cu2Ni2Pt7, from the Alexandria database.

a b c (Å): 6.8838 8.4560 6.0990
angles (deg): 90.00 90.00 90.00
With the nearest neighbours (Å) after each atom.
Space group Cmmm (No. 65)
Inequivalent atoms, fractional coordinates:
Cu1 0.1696 0.0000 0.0000  1 Cu 2.34, 4 Pt 2.57
Ni1 0.0000 0.2945 0.5000  7 Pt 2.45-2.49
Pt1 0.0000 0.0000 0.5000  2 Ni 2.49
Pt2 0.0000 0.5000 0.2168  2 Ni 2.45, 2 Cu 2.63, 5 Pt 2.64-2.73
Pt3 0.2500 0.2500 0.2204  2 Ni 2.45, 2 Cu 2.57, 3 Pt 2.69-2.73

Properties
Total magnetic moment: 0.00 μB per cell
Raw total energy: -116.617 eV per cell

---

The following is a PBE calculation of an optimized crystal structure of Cu2NiPt, from the Alexandria database.

a b c (Å): 2.7178 4.3401 4.3434
angles (deg): 90.00 90.00 90.00
With the nearest neighbours (Å) after each atom.
Space group Pmmm (No. 47)
Inequivalent atoms, fractional coordinates:
Cu1 0.0000 0.0000 0.0000  4 Pt 2.56, 6 Cu 2.56-2.72
Cu2 0.5000 0.0000 0.5000  4 Ni 2.56, 6 Cu 2.56-2.72
Ni1 0.0000 0.5000 0.5000  4 Cu 2.56, 4 Pt 2.56, 2 Ni 2.72
Pt1 0.5000 0.5000 0.0000  4 Cu 2.56, 4 Ni 2.56, 2 Pt 2.72

Properties
Total magnetic moment: 0.00 μB per cell
Raw total energy: -20.214 eV per cell